# KNp4Ag3Se12

A relaxed KNp4Ag3Se12 crystal (PBE, Alexandria).

abc: 8.9655 8.9655 8.9655
angles: 109.47 109.47 109.47
With the nearest neighbours (Å) after each atom.
Atoms (fractional coordinates):
K  0.0000  0.0000  0.0000  12 Se 3.66
Np  0.0000  0.0000  0.5000  6 Se 2.75
Np  0.0000  0.5000  0.0000  6 Se 2.75
Np  0.5000  0.0000  0.0000  6 Se 2.75
Np  0.5000  0.5000  0.5000  6 Se 2.75
Ag  0.0000  0.5000  0.5000  4 Se 2.73
Ag  0.5000  0.0000  0.5000  4 Se 2.73
Ag  0.5000  0.5000  0.0000  4 Se 2.73
Se  0.1279  0.8221  0.3058  1 Ag 2.73, 2 Np 2.75
Se  0.1779  0.3058  0.4837  1 Ag 2.73, 2 Np 2.75
Se  0.1779  0.6942  0.8721  1 Ag 2.73, 2 Np 2.75
Se  0.3058  0.1279  0.8221  1 Ag 2.73, 2 Np 2.75
Se  0.3058  0.4837  0.1779  1 Ag 2.73, 2 Np 2.75
Se  0.4837  0.1779  0.3058  1 Ag 2.73, 2 Np 2.75
Se  0.5163  0.8221  0.6942  1 Ag 2.73, 2 Np 2.75
Se  0.6942  0.5163  0.8221  1 Ag 2.73, 2 Np 2.75
Se  0.6942  0.8721  0.1779  1 Ag 2.73, 2 Np 2.75
Se  0.8221  0.3058  0.1279  1 Ag 2.73, 2 Np 2.75
Se  0.8221  0.6942  0.5163  1 Ag 2.73, 2 Np 2.75
Se  0.8721  0.1779  0.6942  1 Ag 2.73, 2 Np 2.75

D(E_F): 38.03 states/eV/f.u.
SG: No. 204
ΔE_f (raw): -664 meV per atom
theoretical density: 6.76 g/cm³

=====

# Pr3Nd2Y4

A relaxed Pr3Nd2Y4 crystal (PBE, Alexandria).

abc: 10.2466 10.2466 6.2181
angles: 96.10 96.10 71.30
With the nearest neighbours (Å) after each atom.
Atoms (fractional coordinates):
Pr  0.1249  0.8751  0.7500  6 Nd 3.58-3.62, 4 Y 3.65-3.78
Pr  0.1922  0.4802  0.9088  1 Nd 3.32, 8 Y 3.45-3.69
Pr  0.4802  0.1922  0.4088  1 Nd 3.32, 8 Y 3.45-3.69
Pr  0.5198  0.8078  0.5912  1 Nd 3.32, 8 Y 3.45-3.69
Pr  0.8078  0.5198  0.0912  1 Nd 3.32, 8 Y 3.45-3.69
Pr  0.8751  0.1249  0.2500  6 Nd 3.58-3.62, 4 Y 3.65-3.78
Nd  0.0207  0.7567  0.2096  4 Pr 3.32-3.62, 3 Y 3.47-3.53, 1 Nd 3.67
Nd  0.2433  0.9793  0.2904  4 Pr 3.32-3.62, 3 Y 3.47-3.53, 1 Nd 3.67
Nd  0.7567  0.0207  0.7096  4 Pr 3.32-3.62, 3 Y 3.47-3.53, 1 Nd 3.67
Nd  0.9793  0.2433  0.7904  4 Pr 3.32-3.62, 3 Y 3.47-3.53, 1 Nd 3.67
Y  0.1143  0.3430  0.3629  5 Pr 3.45-3.78, 3 Nd 3.51-3.84, 2 Y 3.52-3.69
Y  0.3266  0.5571  0.4631  3 Y 3.36-3.52, 1 Nd 3.47, 5 Pr 3.49-3.69
Y  0.3430  0.1143  0.8629  5 Pr 3.45-3.78, 3 Nd 3.51-3.84, 2 Y 3.52-3.69
Y  0.4429  0.6734  0.0369  3 Y 3.36-3.52, 1 Nd 3.47, 5 Pr 3.49-3.69
Y  0.5571  0.3266  0.9631  3 Y 3.36-3.52, 1 Nd 3.47, 5 Pr 3.49-3.69
Y  0.6570  0.8857  0.1371  5 Pr 3.45-3.78, 3 Nd 3.51-3.84, 2 Y 3.52-3.69
Y  0.6734  0.4429  0.5369  3 Y 3.36-3.52, 1 Nd 3.47, 5 Pr 3.49-3.69
Y  0.8857  0.6570  0.6371  5 Pr 3.45-3.78, 3 Nd 3.51-3.84, 2 Y 3.52-3.69

energy of formation from the pure elements: 0.088 eV per atom
D(E_F): 14.27 states/eV/f.u.
SG: No. 15
theoretical density: 5.78 g/cm³

=====

# Ac2PaBi

A relaxed Ac2PaBi crystal (PBE, Alexandria).

abc: 5.2400 5.2400 4.9547
angles: 90.00 90.00 90.00
With the nearest neighbours (Å) after each atom.
Atoms (fractional coordinates):
Ac  0.0000  0.5000  0.0000  4 Pa 3.61, 4 Bi 3.61, 4 Ac 3.71
Ac  0.5000  0.0000  0.0000  4 Pa 3.61, 4 Bi 3.61, 4 Ac 3.71
Pa  0.0000  0.0000  0.5000  8 Ac 3.61, 4 Bi 3.71
Bi  0.5000  0.5000  0.5000  8 Ac 3.61, 4 Pa 3.71

energy of formation from the pure elements: 0.007 eV per atom
D(E_F): 8.90 states/eV/f.u.
SG: No. 123
theoretical density: 10.91 g/cm³